Entry from the Alexandria database: crystalline Mg2TlWAu at its relaxed geometry (PBE).

Output
Energy relative to the elements: 134.1 kJ/mol of atoms
Total energy: -2.968 eV/atom
M_tot: 0.643 μB per atom

Cell lengths 5.109, 5.109, 5.292 Å; angles 90.00, 90.00, 90.00 degrees
Space group P4/mmm (No. 123)
Symmetry-distinct sites (fractional):
1 Mg 0.000 0.500 0.000
2 Tl 0.000 0.000 0.000
3 W 0.000 0.000 0.500
4 Au 0.500 0.500 0.500

---

Entry from the Alexandria database: crystalline YMgTlAu at its relaxed geometry (PBE).

Output
Energy relative to the elements: -48.8 kJ/mol of atoms
Total energy: -3.932 eV/atom
M_tot: 0.000 μB per atom

Cell lengths 7.146, 7.146, 7.146 Å; angles 90.00, 90.00, 90.00 degrees
Space group F-43m (No. 216)
Symmetry-distinct sites (fractional):
1 Y 0.000 0.000 0.000
2 Mg 0.000 0.000 0.500
3 Tl 0.250 0.250 0.750
4 Au 0.250 0.250 0.250

---

Entry from the Alexandria database: crystalline MgTlZn2Au at its relaxed geometry (PBE).

Output
Energy relative to the elements: -1.0 kJ/mol of atoms
Total energy: -1.967 eV/atom
M_tot: 0.000 μB per atom

Cell lengths 4.953, 4.953, 5.153 Å; angles 90.00, 90.00, 90.00 degrees
Space group P4/mmm (No. 123)
Symmetry-distinct sites (fractional):
1 Mg 0.000 0.000 0.000
2 Tl 0.500 0.500 0.000
3 Zn 0.000 0.500 0.500
4 Au 0.000 0.000 0.500

---

Entry from the Alexandria database: crystalline MgZrTlAu at its relaxed geometry (PBE).

Output
Energy relative to the elements: -22.6 kJ/mol of atoms
Total energy: -4.181 eV/atom
M_tot: 0.000 μB per atom

Cell lengths 6.955, 6.955, 6.955 Å; angles 90.00, 90.00, 90.00 degrees
Space group F-43m (No. 216)
Symmetry-distinct sites (fractional):
1 Mg 0.000 0.000 0.000
2 Zr 0.000 0.000 0.500
3 Tl 0.250 0.250 0.250
4 Au 0.250 0.250 0.750

---

Entry from the Alexandria database: crystalline TmMg4Au2 at its relaxed geometry (PBE).

Output
Energy relative to the elements: -46.3 kJ/mol of atoms
Total energy: -2.966 eV/atom
M_tot: 0.000 μB per atom

Cell lengths 9.180, 9.180, 3.631 Å; angles 90.00, 90.00, 90.00 degrees
Space group P4_2/mnm (No. 136)
Symmetry-distinct sites (fractional):
1 Tm 0.000 0.000 0.000
2 Mg 0.086 0.322 0.500
3 Au 0.182 0.818 0.500

---

Entry from the Alexandria database: crystalline Tm3Mg2Au3 at its relaxed geometry (PBE).

Output
Energy relative to the elements: -70.3 kJ/mol of atoms
E above lowest polymorph: 0 meV per atom
Total energy: -4.033 eV/atom
M_tot: 0.000 μB per atom

Cell lengths 8.4900, 8.4900, 5.7535 Å; angles 90.00, 90.00, 120.00 degrees
Space group P6_3/mcm (No. 193)
Symmetry-distinct sites (fractional):
1 Tm 0.0000 0.2602 0.2500
2 Mg 0.3333 0.6667 0.0000
3 Au 0.0000 0.3905 0.7500

---

Entry from the Alexandria database: crystalline Tm2MgAu6 at its relaxed geometry (PBE).

Output
Energy relative to the elements: -67.3 kJ/mol of atoms
Total energy: -4.053 eV/atom
M_tot: 0.000 μB per atom

Cell lengths 5.159, 15.592, 5.165 Å; angles 90.00, 119.96, 90.00 degrees
Space group C2/m (No. 12)
Symmetry-distinct sites (fractional):
1 Tm 0.000 0.163 0.000
2 Mg 0.000 0.500 0.500
3 Au 0.155 0.000 0.825
4 Au 0.162 0.334 0.331

---

Entry from the Alexandria database: crystalline Tm3Mg2Au3 at its relaxed geometry (PBE).

Output
Energy relative to the elements: -61.7 kJ/mol of atoms
E above lowest polymorph: 89 meV per atom
Total energy: -3.943 eV/atom
M_tot: 0.000 μB per atom

Cell lengths 3.492, 5.066, 20.389 Å; angles 90.00, 90.00, 90.00 degrees
Space group Immm (No. 71)
Symmetry-distinct sites (fractional):
1 Tm 0.000 0.000 0.000
2 Tm 0.000 0.500 0.122
3 Mg 0.000 0.000 0.234
4 Au 0.000 0.000 0.500
5 Au 0.000 0.500 0.375